P) Compound: ErThPb
Source: Alexandria
Functional: PBE-GGA
Structure: optimized geometry

Results
Magnetic moment in μB per formula unit: 0.00
Space group: I4/mmm, No. 139

Unit cell a=9.3487 b=9.3487 c=9.3487 alpha=151.73 beta=151.73 gamma=40.41
Sites, in units of the cell vectors:
Er  0.1733  0.1733  0.0000
Er  0.8267  0.8267  0.0000
Th  0.0000  0.5000  0.5000
Th  0.5000  0.0000  0.5000
Pb  0.3529  0.3529  0.0000
Pb  0.6471  0.6471  0.0000

Q) Compound: ErThPb
Source: Alexandria
Functional: PBE-GGA
Structure: optimized geometry

Results
Magnetic moment in μB per formula unit: 0.00
Space group: I4mm, No. 107

Unit cell a=6.0403 b=6.0403 c=6.0403 alpha=140.23 beta=140.23 gamma=57.51
Sites, in units of the cell vectors:
Er  0.0000  0.0000  0.0000
Th  0.6876  0.6876  0.0000
Pb  0.3555  0.3555  0.0000

It is Q) that is the least stable of them.

P) Compound: Er3ThPb2
Source: Alexandria
Functional: PBE-GGA
Structure: optimized geometry

Results
Magnetic moment in μB per formula unit: 0.00
Space group: P-4m2, No. 115

Unit cell a=4.5882 b=4.5882 c=8.5787 alpha=90.00 beta=90.00 gamma=90.00
Sites, in units of the cell vectors:
Er  0.0000  0.0000  0.0000
Er  0.0000  0.5000  0.6594
Er  0.5000  0.0000  0.3406
Th  0.5000  0.5000  0.0000
Pb  0.0000  0.5000  0.2916
Pb  0.5000  0.0000  0.7084

Q) Compound: Er3ThPb2
Source: Alexandria
Functional: PBE-GGA
Structure: optimized geometry

Results
Magnetic moment in μB per formula unit: 0.00
Space group: C2/m, No. 12

Unit cell a=9.4755 b=9.4755 c=9.5554 alpha=112.12 beta=112.12 gamma=27.65
Sites, in units of the cell vectors:
Er  0.0584  0.0584  0.1834
Er  0.3089  0.3089  0.6096
Er  0.3607  0.3607  0.0174
Er  0.6393  0.6393  0.9826
Er  0.6911  0.6911  0.3904
Er  0.9416  0.9416  0.8166
Th  0.1146  0.1146  0.6298
Th  0.8854  0.8854  0.3702
Pb  0.2451  0.2451  0.2086
Pb  0.4884  0.4884  0.6509
Pb  0.5116  0.5116  0.3491
Pb  0.7549  0.7549  0.7914

It is Q) that is the least stable of them.

P) Compound: ErTiPb
Source: Alexandria
Functional: PBE-GGA
Structure: optimized geometry

Results
Magnetic moment in μB per formula unit: 1.65
Space group: I4/mmm, No. 139

Unit cell a=8.5197 b=8.5197 c=8.5197 alpha=150.66 beta=150.66 gamma=41.97
Sites, in units of the cell vectors:
Er  0.1680  0.1680  0.0000
Er  0.8320  0.8320  0.0000
Ti  0.0000  0.5000  0.5000
Ti  0.5000  0.0000  0.5000
Pb  0.3692  0.3692  0.0000
Pb  0.6308  0.6308  0.0000

Q) Compound: ErTiPb
Source: Alexandria
Functional: PBE-GGA
Structure: optimized geometry

Results
Magnetic moment in μB per formula unit: 0.02
Space group: I4mm, No. 107

Unit cell a=6.0574 b=6.0574 c=6.0574 alpha=145.22 beta=145.22 gamma=50.01
Sites, in units of the cell vectors:
Er  0.0000  0.0000  0.0000
Ti  0.6680  0.6680  0.0000
Pb  0.3109  0.3109  0.0000

It is Q) that is the least stable of them.

P) Compound: Er6Tl5Pb
Source: Alexandria
Functional: PBE-GGA
Structure: optimized geometry

Results
Magnetic moment in μB per formula unit: 0.00
Space group: C2/m, No. 12

Unit cell a=6.3863 b=6.3863 c=9.8791 alpha=95.92 beta=95.92 gamma=119.29
Sites, in units of the cell vectors:
Er  0.0795  0.4147  0.2473
Er  0.2501  0.2501  0.7513
Er  0.4147  0.0795  0.2473
Er  0.5853  0.9205  0.7527
Er  0.7499  0.7499  0.2487
Er  0.9205  0.5853  0.7527
Tl  0.0000  0.0000  0.0000
Tl  0.1673  0.8327  0.5000
Tl  0.3341  0.6659  0.0000
Tl  0.6659  0.3341  0.0000
Tl  0.8327  0.1673  0.5000
Pb  0.5000  0.5000  0.5000

Q) Compound: Er6Tl5Pb
Source: Alexandria
Functional: PBE-GGA
Structure: optimized geometry

Results
Magnetic moment in μB per formula unit: 0.00
Space group: Immm, No. 71

Unit cell a=9.2675 b=9.2675 c=9.2675 alpha=146.40 beta=132.20 gamma=59.70
Sites, in units of the cell vectors:
Er  0.0831  0.3332  0.7500
Er  0.2498  0.0000  0.2498
Er  0.4168  0.6668  0.7500
Er  0.5832  0.3332  0.2500
Er  0.7502  0.0000  0.7502
Er  0.9169  0.6668  0.2500
Tl  0.0000  0.5000  0.5000
Tl  0.1660  0.1660  0.0000
Tl  0.3308  0.8308  0.5000
Tl  0.6692  0.1692  0.5000
Tl  0.8340  0.8340  0.0000
Pb  0.5000  0.5000  0.0000

It is P) that is the least stable of them.

P) Compound: Er4Tl2Pb
Source: Alexandria
Functional: PBE-GGA
Structure: optimized geometry

Results
Magnetic moment in μB per formula unit: 0.00
Space group: P2_1/m, No. 11

Unit cell a=5.6792 b=6.6204 c=10.7821 alpha=90.00 beta=102.32 gamma=90.00
Sites, in units of the cell vectors:
Er  0.1149  0.2500  0.1375
Er  0.2480  0.7500  0.4460
Er  0.3343  0.0062  0.7335
Er  0.3343  0.4938  0.7335
Er  0.6657  0.5062  0.2665
Er  0.6657  0.9938  0.2665
Er  0.7520  0.2500  0.5540
Er  0.8851  0.7500  0.8625
Tl  0.2086  0.2500  0.4370
Tl  0.4515  0.7500  0.9931
Tl  0.5485  0.2500  0.0069
Tl  0.7914  0.7500  0.5630
Pb  0.0938  0.7500  0.1632
Pb  0.9062  0.2500  0.8368

Q) Compound: Er4Tl2Pb
Source: Alexandria
Functional: PBE-GGA
Structure: optimized geometry

Results
Magnetic moment in μB per formula unit: 0.00
Space group: R-3m, No. 166

Unit cell a=9.2240 b=9.2240 c=9.2240 alpha=32.98 beta=32.98 gamma=32.98
Sites, in units of the cell vectors:
Er  0.1206  0.1206  0.1206
Er  0.3745  0.3745  0.3745
Er  0.6255  0.6255  0.6255
Er  0.8794  0.8794  0.8794
Tl  0.2581  0.2581  0.2581
Tl  0.7419  0.7419  0.7419
Pb  0.5000  0.5000  0.5000

It is Q) that is the least stable of them.

P) Compound: ErTmTlPb
Source: Alexandria
Functional: PBE-GGA
Structure: optimized geometry

Results
Magnetic moment in μB per formula unit: 0.00
Space group: I-4m2, No. 119

Unit cell a=5.6096 b=5.6096 c=5.6096 alpha=127.34 beta=127.34 gamma=77.70
Sites, in units of the cell vectors:
Er  0.0000  0.0000  0.0000
Tm  0.5000  0.5000  0.0000
Tl  0.2500  0.7500  0.5000
Pb  0.7500  0.2500  0.5000

Q) Compound: ErTmTlPb
Source: Alexandria
Functional: PBE-GGA
Structure: optimized geometry

Results
Magnetic moment in μB per formula unit: 0.00
Space group: F-43m, No. 216

Unit cell a=5.3686 b=5.3686 c=5.3686 alpha=60.00 beta=60.00 gamma=60.00
Sites, in units of the cell vectors:
Er  0.0000  0.0000  0.0000
Tm  0.5000  0.5000  0.5000
Tl  0.2500  0.2500  0.2500
Pb  0.7500  0.7500  0.7500

It is Q) that is the least stable of them.

P) Compound: Er3Tm2Pb3
Source: Alexandria
Functional: PBE-GGA
Structure: optimized geometry

Results
Magnetic moment in μB per formula unit: 0.00
Space group: Immm, No. 71

Unit cell a=11.0798 b=11.0798 c=11.0798 alpha=157.30 beta=154.64 gamma=34.29
Sites, in units of the cell vectors:
Er  0.0000  0.0000  0.0000
Er  0.3772  0.8772  0.5000
Er  0.6228  0.1228  0.5000
Tm  0.2453  0.2453  0.0000
Tm  0.7547  0.7547  0.0000
Pb  0.1316  0.6316  0.5000
Pb  0.5000  0.5000  0.0000
Pb  0.8684  0.3684  0.5000

Q) Compound: Er3Tm2Pb3
Source: Alexandria
Functional: PBE-GGA
Structure: optimized geometry

Results
Magnetic moment in μB per formula unit: 0.00
Space group: P6_3/mcm, No. 193

Unit cell a=8.9645 b=8.9645 c=6.5356 alpha=90.00 beta=90.00 gamma=120.00
Sites, in units of the cell vectors:
Er  0.0000  0.2360  0.2500
Er  0.0000  0.7640  0.7500
Er  0.2360  0.0000  0.2500
Er  0.2360  0.2360  0.7500
Er  0.7640  0.0000  0.7500
Er  0.7640  0.7640  0.2500
Tm  0.3333  0.6667  0.0000
Tm  0.3333  0.6667  0.5000
Tm  0.6667  0.3333  0.0000
Tm  0.6667  0.3333  0.5000
Pb  0.0000  0.3951  0.7500
Pb  0.0000  0.6049  0.2500
Pb  0.3951  0.0000  0.7500
Pb  0.3951  0.3951  0.2500
Pb  0.6049  0.0000  0.2500
Pb  0.6049  0.6049  0.7500

It is P) that is the least stable of them.

P) Compound: Er7Tm4Pb
Source: Alexandria
Functional: PBE-GGA
Structure: optimized geometry

Results
Magnetic moment in μB per formula unit: 0.00
Space group: P-1, No. 2

Unit cell a=6.4483 b=6.5968 c=8.8203 alpha=84.87 beta=77.34 gamma=81.27
Sites, in units of the cell vectors:
Er  0.0000  0.0000  0.0000
Er  0.1568  0.6092  0.3190
Er  0.1885  0.1008  0.3914
Er  0.4676  0.2506  0.0464
Er  0.5324  0.7494  0.9536
Er  0.8115  0.8992  0.6086
Er  0.8432  0.3908  0.6810
Tm  0.3208  0.7006  0.6482
Tm  0.3689  0.1893  0.7134
Tm  0.6311  0.8107  0.2866
Tm  0.6792  0.2994  0.3518
Pb  0.0000  0.5000  0.0000

Q) Compound: Er7Tm4Pb
Source: Alexandria
Functional: PBE-GGA
Structure: optimized geometry

Results
Magnetic moment in μB per formula unit: 0.00
Space group: C2/m, No. 12

Unit cell a=6.5493 b=6.5493 c=11.7216 alpha=98.62 beta=98.62 gamma=51.29
Sites, in units of the cell vectors:
Er  0.0000  0.0000  0.0000
Er  0.1071  0.1071  0.6055
Er  0.2503  0.2503  0.8795
Er  0.3614  0.3614  0.5302
Er  0.6386  0.6386  0.4698
Er  0.7497  0.7497  0.1205
Er  0.8929  0.8929  0.3945
Tm  0.1432  0.1432  0.2881
Tm  0.4245  0.4245  0.2362
Tm  0.5755  0.5755  0.7638
Tm  0.8568  0.8568  0.7119
Pb  0.5000  0.5000  0.0000

It is Q) that is the least stable of them.

P) Compound: Er6Tm12Pb
Source: Alexandria
Functional: PBE-GGA
Structure: optimized geometry

Results
Magnetic moment in μB per formula unit: 0.00
Space group: R-3m, No. 166

Unit cell a=8.4718 b=8.4718 c=8.4718 alpha=98.22 beta=98.22 gamma=98.22
Sites, in units of the cell vectors:
Er  0.0881  0.3619  0.3619
Er  0.3619  0.0881  0.3619
Er  0.3619  0.3619  0.0881
Er  0.6381  0.6381  0.9119
Er  0.6381  0.9119  0.6381
Er  0.9119  0.6381  0.6381
Tm  0.0833  0.0833  0.6729
Tm  0.0833  0.6729  0.0833
Tm  0.2400  0.5000  0.7600
Tm  0.2400  0.7600  0.5000
Tm  0.3271  0.9167  0.9167
Tm  0.5000  0.2400  0.7600
Tm  0.5000  0.7600  0.2400
Tm  0.6729  0.0833  0.0833
Tm  0.7600  0.2400  0.5000
Tm  0.7600  0.5000  0.2400
Tm  0.9167  0.3271  0.9167
Tm  0.9167  0.9167  0.3271
Pb  0.5000  0.5000  0.5000

Q) Compound: Er6Tm12Pb
Source: Alexandria
Functional: PBE-GGA
Structure: optimized geometry

Results
Magnetic moment in μB per formula unit: 0.00
Space group: R-3, No. 148

Unit cell a=8.3464 b=8.3464 c=8.3464 alpha=88.59 beta=88.59 gamma=88.59
Sites, in units of the cell vectors:
Er  0.1952  0.5934  0.7568
Er  0.2432  0.8048  0.4066
Er  0.4066  0.2432  0.8048
Er  0.5934  0.7568  0.1952
Er  0.7568  0.1952  0.5934
Er  0.8048  0.4066  0.2432
Tm  0.0423  0.2768  0.9325
Tm  0.0675  0.9577  0.7232
Tm  0.1374  0.3057  0.4915
Tm  0.2768  0.9325  0.0423
Tm  0.3057  0.4915  0.1374
Tm  0.4915  0.1374  0.3057
Tm  0.5085  0.8626  0.6943
Tm  0.6943  0.5085  0.8626
Tm  0.7232  0.0675  0.9577
Tm  0.8626  0.6943  0.5085
Tm  0.9325  0.0423  0.2768
Tm  0.9577  0.7232  0.0675
Pb  0.5000  0.5000  0.5000

It is P) that is the least stable of them.

P) Compound: Er3TmPb3
Source: Alexandria
Functional: PBE-GGA
Structure: optimized geometry

Results
Magnetic moment in μB per formula unit: 0.00
Space group: R-3, No. 148

Unit cell a=8.0370 b=8.0370 c=8.0370 alpha=68.86 beta=68.86 gamma=68.86
Sites, in units of the cell vectors:
Er  0.0863  0.8339  0.3349
Er  0.1661  0.6651  0.9137
Er  0.3349  0.0863  0.8339
Er  0.6651  0.9137  0.1661
Er  0.8339  0.3349  0.0863
Er  0.9137  0.1661  0.6651
Tm  0.3312  0.3312  0.3312
Tm  0.6688  0.6688  0.6688
Pb  0.0852  0.4722  0.6862
Pb  0.3138  0.9148  0.5278
Pb  0.4722  0.6862  0.0852
Pb  0.5278  0.3138  0.9148
Pb  0.6862  0.0852  0.4722
Pb  0.9148  0.5278  0.3138

Q) Compound: Er3TmPb3
Source: Alexandria
Functional: PBE-GGA
Structure: optimized geometry

Results
Magnetic moment in μB per formula unit: 0.00
Space group: P2_13, No. 198

Unit cell a=9.3139 b=9.3139 c=9.3139 alpha=90.00 beta=90.00 gamma=90.00
Sites, in units of the cell vectors:
Er  0.0705  0.4295  0.5705
Er  0.1791  0.1791  0.1791
Er  0.1788  0.8212  0.3212
Er  0.3212  0.1788  0.8212
Er  0.3209  0.8209  0.6791
Er  0.4295  0.5705  0.0705
Er  0.5705  0.0705  0.4295
Er  0.6791  0.3209  0.8209
Er  0.6788  0.6788  0.6788
Er  0.8212  0.3212  0.1788
Er  0.8209  0.6791  0.3209
Er  0.9295  0.9295  0.9295
Tm  0.0717  0.5717  0.9283
Tm  0.4283  0.4283  0.4283
Tm  0.5717  0.9283  0.0717
Tm  0.9283  0.0717  0.5717
Pb  0.0002  0.2510  0.8749
Pb  0.9998  0.7510  0.6251
Pb  0.1251  0.5002  0.2490
Pb  0.2490  0.1251  0.5002
Pb  0.2510  0.8749  0.0002
Pb  0.3749  0.4998  0.7490
Pb  0.5002  0.2490  0.1251
Pb  0.4998  0.7490  0.3749
Pb  0.6251  0.9998  0.7510
Pb  0.7490  0.3749  0.4998
Pb  0.7510  0.6251  0.9998
Pb  0.8749  0.0002  0.2510

It is P) that is the least stable of them.